(1)
An optimized crystal structure of Ba2PtPb. Source: Alexandria via LeMat-Bulk, functional PBE-GGA.

a b c (Å): 5.4474 5.4474 9.1161
angles (deg): 90.00 90.00 90.00
Space group I4/mmm (No. 139)
Inequivalent atoms, fractional coordinates:
Ba: 0.0000 0.5000 0.2500 x4
Pt: 0.0000 0.0000 0.0000 x2
Pb: 0.0000 0.0000 0.5000 x2

**E_form**: -0.415 eV per atom
**Total magnetic moment**: 0.00 μB/cell
**Total DFT energy (no corrections)**: -3.814 eV per atom
**D(E_F)**: 5.46 states/eV/cell
**Crystal system**: tetragonal

(2)
An optimized crystal structure of Ba6PtPb2. Source: Alexandria via LeMat-Bulk, functional PBE-GGA.

a b c (Å): 8.1823 8.8839 14.3312
angles (deg): 90.00 124.82 90.00
Space group P2_1/c (No. 14)
Inequivalent atoms, fractional coordinates:
Ba: 0.1326 0.1824 0.4462 x4
Ba: 0.2609 0.6928 0.4431 x4
Ba: 0.3543 0.0281 0.2472 x4
Pt: 0.5000 0.0000 0.5000 x2
Pb: 0.2248 0.0874 0.7515 x4

**E_form**: -0.518 eV per atom
**Total magnetic moment**: 0.16 μB/cell
**Total DFT energy (no corrections)**: -3.295 eV per atom
**D(E_F)**: 10.11 states/eV/cell
**Crystal system**: monoclinic

(3)
An optimized crystal structure of BaPt10Pb. Source: Alexandria via LeMat-Bulk, functional PBE-GGA.

a b c (Å): 4.4157 5.5346 9.5059
angles (deg): 90.00 90.00 90.00
Space group Pmmm (No. 47)
Inequivalent atoms, fractional coordinates:
Ba: 0.0000 0.0000 0.0000 x1
Pt: 0.0000 0.0000 0.3422 x2
Pt: 0.0000 0.5000 0.1790 x2
Pt: 0.5000 0.0000 0.5000 x1
Pt: 0.5000 0.2501 0.2525 x4
Pt: 0.5000 0.5000 0.0000 x1
Pb: 0.0000 0.5000 0.5000 x1

**E_form**: -0.282 eV per atom
**Total magnetic moment**: 0.00 μB/cell
**Total DFT energy (no corrections)**: -5.786 eV per atom
**D(E_F)**: 7.13 states/eV/cell
**Crystal system**: orthorhombic

(4)
An optimized crystal structure of Ba2PtPb. Source: Alexandria via LeMat-Bulk, functional PBE-GGA.

a b c (Å): 3.9084 3.9084 9.7107
angles (deg): 90.00 90.00 90.00
Space group P4mm (No. 99)
Inequivalent atoms, fractional coordinates:
Ba: 0.0000 0.0000 0.0000 x1
Ba: 0.5000 0.5000 0.4140 x1
Pt: 0.5000 0.5000 0.7797 x1
Pb: 0.0000 0.0000 0.6601 x1

**E_form**: -0.289 eV per atom
**Total magnetic moment**: 0.00 μB/cell
**Total DFT energy (no corrections)**: -3.688 eV per atom
**D(E_F)**: 3.08 states/eV/cell
**Crystal system**: tetragonal

(5)
An optimized crystal structure of BaPt2Pb3. Source: Alexandria via LeMat-Bulk, functional PBE-GGA.

a b c (Å): 8.1186 8.1186 19.1786
angles (deg): 90.00 90.00 120.00
Space group R-3m (No. 166, hexagonal axes)
Inequivalent atoms, fractional coordinates:
Ba: 0.0000 0.0000 0.2269 x6
Pt: 0.0000 0.0000 0.0000 x3
Pt: 0.0000 0.5000 0.0000 x9
Pb: 0.0099 0.5049 0.2521 x18

**E_form**: -0.368 eV per atom
**Energy relative to the lowest polymorph listed for this composition**: 34 meV per atom
**Total magnetic moment**: 0.00 μB/cell
**Total DFT energy (no corrections)**: -4.556 eV per atom
**D(E_F)**: 16.90 states/eV/cell
**Crystal system**: trigonal

(6)
An optimized crystal structure of BaPt3Pb. Source: Alexandria via LeMat-Bulk, functional PBE-GGA.

a b c (Å): 5.3905 5.3905 5.3905
angles (deg): 90.00 90.00 90.00
Space group Pm-3m (No. 221)
Inequivalent atoms, fractional coordinates:
Ba: 0.0000 0.0000 0.0000 x1
Pt: 0.0000 0.0000 0.5000 x3
Pb: 0.5000 0.5000 0.5000 x1

**E_form**: 1.265 eV per atom
**Energy relative to the lowest polymorph listed for this composition**: 1152 meV per atom
**Total magnetic moment**: 0.00 μB/cell
**Total DFT energy (no corrections)**: -3.485 eV per atom
**D(E_F)**: 5.24 states/eV/cell
**Crystal system**: cubic

(7)
An optimized crystal structure of Ba2Pt7Pb12. Source: Alexandria via LeMat-Bulk, functional PBE-GGA.

a b c (Å): 11.7112 11.7112 4.6379
angles (deg): 90.00 90.00 120.00
Space group P-6 (No. 174)
Inequivalent atoms, fractional coordinates:
Ba: 0.0000 0.0000 0.0000 x1
Ba: 0.3333 0.6667 0.5000 x1
Pt: 0.0890 0.4395 0.0000 x3
Pt: 0.2697 0.2237 0.5000 x3
Pt: 0.6667 0.3333 0.0000 x1
Pb: 0.0608 0.2790 0.5000 x3
Pb: 0.0949 0.6870 0.0000 x3
Pb: 0.3860 0.1732 0.0000 x3
Pb: 0.5499 0.4313 0.5000 x3

**E_form**: -0.314 eV per atom
**Total magnetic moment**: 0.00 μB/cell
**Total DFT energy (no corrections)**: -4.630 eV per atom
**D(E_F)**: 12.27 states/eV/cell
**Crystal system**: hexagonal

(8)
An optimized crystal structure of Ba4PtPb2. Source: Alexandria via LeMat-Bulk, functional PBE-GGA.

a b c (Å): 6.2243 6.2243 16.7332
angles (deg): 90.00 90.00 90.00
Space group I4/mmm (No. 139)
Inequivalent atoms, fractional coordinates:
Ba: 0.0000 0.0000 0.1859 x4
Ba: 0.0000 0.5000 0.0000 x4
Pt: 0.0000 0.0000 0.0000 x2
Pb: 0.0000 0.0000 0.3897 x4

**E_form**: -0.494 eV per atom
**Total magnetic moment**: 0.00 μB/cell
**Total DFT energy (no corrections)**: -3.515 eV per atom
**D(E_F)**: 3.43 states/eV/cell
**Crystal system**: tetragonal

(9)
An optimized crystal structure of BaPtPb4. Source: Alexandria via LeMat-Bulk, functional PBE-GGA.

a b c (Å): 9.1417 9.1417 9.1417
angles (deg): 90.00 90.00 90.00
Space group F-43m (No. 216)
Inequivalent atoms, fractional coordinates:
Ba: 0.0000 0.0000 0.0000 x4
Pt: 0.2500 0.2500 0.2500 x4
Pb: 0.1242 0.1242 0.6242 x16

**E_form**: 0.112 eV per atom
**Total magnetic moment**: 0.00 μB/cell
**Total DFT energy (no corrections)**: -3.687 eV per atom
**D(E_F)**: 23.87 states/eV/cell
**Crystal system**: cubic

(10)
An optimized crystal structure of Ba2PtPb2. Source: Alexandria via LeMat-Bulk, functional PBE-GGA.

a b c (Å): 12.4217 4.9316 12.3970
angles (deg): 90.00 115.55 90.00
Space group C2/m (No. 12)
Inequivalent atoms, fractional coordinates:
Ba: 0.0059 0.0000 0.1656 x4
Ba: 0.1869 0.0000 0.6186 x4
Pt: 0.2041 0.5000 0.8324 x4
Pb: 0.0189 0.5000 0.3808 x4
Pb: 0.1807 0.5000 0.0562 x4

**E_form**: -0.578 eV per atom
**Energy relative to the lowest polymorph listed for this composition**: 0 meV per atom
**Total magnetic moment**: 0.00 μB/cell
**Total DFT energy (no corrections)**: -4.039 eV per atom
**D(E_F)**: 14.22 states/eV/cell
**Crystal system**: monoclinic

(11)
An optimized crystal structure of Ba2PuPt4Pb3. Source: Alexandria via LeMat-Bulk, functional PBE-GGA.

a b c (Å): 4.9250 4.9250 11.1652
angles (deg): 90.00 90.00 90.00
Space group P-4m2 (No. 115)
Inequivalent atoms, fractional coordinates:
Ba: 0.0000 0.5000 0.2298 x2
Pu: 0.0000 0.0000 0.5000 x1
Pt: 0.0000 0.0000 0.0000 x1
Pt: 0.0000 0.5000 0.6314 x2
Pt: 0.5000 0.5000 0.0000 x1
Pb: 0.0000 0.5000 0.8813 x2
Pb: 0.5000 0.5000 0.5000 x1

**E_form**: -0.551 eV per atom
**Total magnetic moment**: 5.45 μB/cell
**Total DFT energy (no corrections)**: -5.897 eV per atom
**D(E_F)**: 12.47 states/eV/cell
**Crystal system**: tetragonal

(12)
An optimized crystal structure of RbBaPt2Pb. Source: Alexandria via LeMat-Bulk, functional PBE-GGA.

a b c (Å): 5.5956 5.5956 5.7471
angles (deg): 90.00 90.00 90.00
Space group P4/mmm (No. 123)
Inequivalent atoms, fractional coordinates:
Rb: 0.0000 0.0000 0.0000 x1
Ba: 0.5000 0.5000 0.5000 x1
Pt: 0.0000 0.5000 0.0000 x2
Pb: 0.0000 0.0000 0.5000 x1

**E_form**: 0.927 eV per atom
**Total magnetic moment**: 0.00 μB/cell
**Total DFT energy (no corrections)**: -2.809 eV per atom
**D(E_F)**: 6.52 states/eV/cell
**Crystal system**: tetragonal

Which of these has the lowest D(E_F)? number 4